1:
Material: CeTiGa2
Method: DFT, PBE-GGA
State: optimized geometry

## Properties
mass density	6.7	Mg/m³
SG	Pnma (62)
N(E_F)	25.8	states/eV per cell

Cell lengths 7.3250, 4.2677, 10.4179 Å; angles 90.00, 90.00, 90.00 degrees
Positions (direct):
Ce: 0.2031 0.2500 0.1748
Ce: 0.2969 0.7500 0.6748
Ce: 0.7031 0.2500 0.3252
Ce: 0.7969 0.7500 0.8252
Ti: 0.0416 0.7500 0.4120
Ti: 0.4584 0.2500 0.9120
Ti: 0.5416 0.7500 0.0880
Ti: 0.9584 0.2500 0.5880
Ga: 0.0913 0.2500 0.8457
Ga: 0.2147 0.7500 0.9691
Ga: 0.2853 0.2500 0.4691
Ga: 0.4087 0.7500 0.3457
Ga: 0.5913 0.2500 0.6543
Ga: 0.7147 0.7500 0.5309
Ga: 0.7853 0.2500 0.0309
Ga: 0.9087 0.7500 0.1543

2:
Material: CeTiGa2
Method: DFT, PBE-GGA
State: optimized geometry

## Properties
mass density	6.7	Mg/m³
SG	Fm-3m (225)
N(E_F)	31.4	states/eV per cell

Cell lengths 6.8638, 6.8638, 6.8638 Å; angles 90.00, 90.00, 90.00 degrees
Positions (direct):
Ce: 0.0000 0.0000 0.0000
Ce: 0.0000 0.5000 0.5000
Ce: 0.5000 0.0000 0.5000
Ce: 0.5000 0.5000 0.0000
Ti: 0.0000 0.0000 0.5000
Ti: 0.0000 0.5000 0.0000
Ti: 0.5000 0.0000 0.0000
Ti: 0.5000 0.5000 0.5000
Ga: 0.2500 0.2500 0.2500
Ga: 0.2500 0.2500 0.7500
Ga: 0.2500 0.7500 0.2500
Ga: 0.2500 0.7500 0.7500
Ga: 0.7500 0.2500 0.2500
Ga: 0.7500 0.2500 0.7500
Ga: 0.7500 0.7500 0.2500
Ga: 0.7500 0.7500 0.7500

3:
Material: CeTiGa2
Method: DFT, PBE-GGA
State: optimized geometry

## Properties
mass density	6.7	Mg/m³
SG	P4/mmm (123)
N(E_F)	4.7	states/eV per cell

Cell lengths 4.3765, 4.3765, 4.2579 Å; angles 90.00, 90.00, 90.00 degrees
Positions (direct):
Ce: 0.0000 0.0000 0.0000
Ti: 0.5000 0.5000 0.0000
Ga: 0.0000 0.5000 0.5000
Ga: 0.5000 0.0000 0.5000

Top of the stability list: 1, leading by 5.9 kJ/mol of atoms.